Below is a geometry-optimized PuAlNiRu structure, with properties calculated at the GGA-PBE level.

Computed properties:
E_tot	-34.23	eV/cell
formation energy	-26.4	kJ/mol of atoms
SG	No. 216
size of the total moment	4.54	μB per formula unit

Unit cell a=4.5143 b=4.5143 c=4.5143 alpha=60.00 beta=60.00 gamma=60.00
Last column: nearest neighbours and their distance in Å.
Positions (direct):
Pu 0.5000 0.5000 0.5000  4 Ru 2.76, 4 Ni 2.76
Ni 0.2500 0.2500 0.2500  4 Al 2.76, 4 Pu 2.76
Ru 0.7500 0.7500 0.7500  4 Al 2.76, 4 Pu 2.76
Al 0.0000 0.0000 0.0000  4 Ni 2.76, 4 Ru 2.76